Density functional theory data (PBE-GGA) for crystalline AgSn3Te4 at its relaxed geometry.

```
AgSn3Te4
1.0
6.2371 0.0000 0.0000
0.0000 12.5542 0.0000
0.0000 0.0000 6.2370
Ag Sn Te
2 6 8
Direct
0.2500 0.2500 0.2485
0.7500 0.7500 0.7515
0.2500 0.0000 0.7499
0.2500 0.5000 0.7499
0.2500 0.7500 0.2505
0.7500 0.0000 0.2501
0.7500 0.2500 0.7495
0.7500 0.5000 0.2501
0.2500 0.0062 0.2498
0.2500 0.2500 0.7492
0.2500 0.4938 0.2498
0.2500 0.7500 0.7506
0.7500 0.2500 0.2494
0.7500 0.5062 0.7502
0.7500 0.7500 0.2508
0.7500 0.9938 0.7502
```

Properties
Offset from the most stable computed form: 0.013 eV per atom
Symmetry: Pmmn (59)
DFT total energy: -29.0 eV/f.u.